No. 1
# LiSiAu4 (SCAN, PBEsol geometry)
data_LiSiAu4
_chemical_formula_sum 'Li4 Si4 Au16'
_symmetry_space_group_name_H-M 'F -4 3 m'
_symmetry_Int_Tables_number 216
_symmetry_space_group_name_Hall 'F -4 2 3'
_cell_length_a 7.6296
_cell_length_b 7.6296
_cell_length_c 7.6296
_cell_angle_alpha 90.00
_cell_angle_beta 90.00
_cell_angle_gamma 90.00
loop_
_atom_site_label
_atom_site_fract_x
_atom_site_fract_y
_atom_site_fract_z
Li1 0.0000 0.0000 0.0000
Si1 0.2500 0.2500 0.2500
Au1 0.1251 0.1251 0.6251
# Calculated density (g cm⁻³): 12.3
# Total DFT energy (no corrections) (eV for the cell shown): -1153.52
# Raw formation energy (kJ per mole of atoms): 10.5
# D(E_F) (states/eV/cell): 17.70

***

No. 2
# LiSiAu2 (SCAN, PBEsol geometry)
data_LiSiAu2
_chemical_formula_sum 'Li2 Si2 Au4'
_symmetry_space_group_name_H-M 'C 1 m 1'
_symmetry_Int_Tables_number 8
_symmetry_space_group_name_Hall 'C -2y'
_cell_length_a 8.7455
_cell_length_b 3.3738
_cell_length_c 4.2365
_cell_angle_alpha 90.00
_cell_angle_beta 105.92
_cell_angle_gamma 90.00
loop_
_atom_site_label
_atom_site_fract_x
_atom_site_fract_y
_atom_site_fract_z
Li1 0.0000 0.0000 0.0000
Si1 0.2348 0.0000 0.6608
Au1 0.0008 0.5000 0.5169
Au2 0.2409 0.5000 0.1602
# Calculated density (g cm⁻³): 11.9
# Total DFT energy (no corrections) (eV for the cell shown): -304.16
# Raw formation energy (kJ per mole of atoms): -32.9
# D(E_F) (states/eV/cell): 1.64

***

No. 3
# LiSiAu2 (SCAN, PBEsol geometry)
data_LiSiAu2
_chemical_formula_sum 'Li1 Si1 Au2'
_symmetry_space_group_name_H-M 'P m m 2'
_symmetry_Int_Tables_number 25
_symmetry_space_group_name_Hall 'P 2 -2'
_cell_length_a 2.9777
_cell_length_b 3.8842
_cell_length_c 5.2166
_cell_angle_alpha 90.00
_cell_angle_beta 90.00
_cell_angle_gamma 90.00
loop_
_atom_site_label
_atom_site_fract_x
_atom_site_fract_y
_atom_site_fract_z
Li1 0.0000 0.0000 0.0000
Si1 0.5000 0.5000 0.2949
Au1 0.0000 0.0000 0.4823
Au2 0.5000 0.5000 0.8087
# Calculated density (g cm⁻³): 11.8
# Total DFT energy (no corrections) (eV for the cell shown): -151.99
# Raw formation energy (kJ per mole of atoms): -30.7
# D(E_F) (states/eV/cell): 1.16

***

No. 4
# Li2Si2Au (SCAN, PBEsol geometry)
data_Li2Si2Au
_chemical_formula_sum 'Li4 Si4 Au2'
_symmetry_space_group_name_H-M 'P 4/m b m'
_symmetry_Int_Tables_number 127
_symmetry_space_group_name_Hall '-P 4 2ab'
_cell_length_a 6.1956
_cell_length_b 6.1956
_cell_length_c 4.1744
_cell_angle_alpha 90.00
_cell_angle_beta 90.00
_cell_angle_gamma 90.00
loop_
_atom_site_label
_atom_site_fract_x
_atom_site_fract_y
_atom_site_fract_z
Li1 0.1657 0.3343 0.0000
Si1 0.1307 0.6307 0.5000
Au1 0.0000 0.0000 0.5000
# Calculated density (g cm⁻³): 5.5
# Total DFT energy (no corrections) (eV for the cell shown): -192.08
# Raw formation energy (kJ per mole of atoms): -40.0
# D(E_F) (states/eV/cell): 1.28

***

No. 5
# LiSiAu2 (SCAN, PBEsol geometry)
data_LiSiAu2
_chemical_formula_sum 'Li4 Si4 Au8'
_symmetry_space_group_name_H-M 'F -4 3 m'
_symmetry_Int_Tables_number 216
_symmetry_space_group_name_Hall 'F -4 2 3'
_cell_length_a 6.3002
_cell_length_b 6.3002
_cell_length_c 6.3002
_cell_angle_alpha 90.00
_cell_angle_beta 90.00
_cell_angle_gamma 90.00
loop_
_atom_site_label
_atom_site_fract_x
_atom_site_fract_y
_atom_site_fract_z
Li1 0.0000 0.0000 0.0000
Si1 0.2500 0.2500 0.2500
Au1 0.0000 0.0000 0.5000
Au2 0.2500 0.2500 0.7500
# Calculated density (g cm⁻³): 11.4
# Total DFT energy (no corrections) (eV for the cell shown): -605.03
# Raw formation energy (kJ per mole of atoms): -13.0
# D(E_F) (states/eV/cell): 4.16

***

No. 6
# LiSiAu (SCAN, PBEsol geometry)
data_LiSiAu
_chemical_formula_sum 'Li1 Si1 Au1'
_symmetry_space_group_name_H-M 'P -6 m 2'
_symmetry_Int_Tables_number 187
_symmetry_space_group_name_Hall 'P -6 2'
_cell_length_a 4.2561
_cell_length_b 4.2561
_cell_length_c 2.9352
_cell_angle_alpha 90.00
_cell_angle_beta 90.00
_cell_angle_gamma 120.00
loop_
_atom_site_label
_atom_site_fract_x
_atom_site_fract_y
_atom_site_fract_z
Li1 0.0000 0.0000 0.0000
Si1 0.6667 0.3333 0.5000
Au1 0.3333 0.6667 0.5000
# Calculated density (g cm⁻³): 8.4
# Total DFT energy (no corrections) (eV for the cell shown): -82.80
# Raw formation energy (kJ per mole of atoms): -39.7
# D(E_F) (states/eV/cell): 0.85

***

What is the D(E_F) in the third record? 1.16 states/eV/cell